Entry 1:
## KAlFe2S (PBEsol)

Data for KAlFe2S after structural relaxation.

Cell lengths 4.296, 4.296, 5.261 Å; angles 90.00, 90.00, 90.00 degrees
Fractional coordinates of all 5 atoms:
K (0.000, 0.000, 0.000)
Al (0.500, 0.500, 0.000)
Fe (0.000, 0.500, 0.500)
Fe (0.500, 0.000, 0.500)
S (0.500, 0.500, 0.500)

Output
Uncorrected energy: -4.91 eV per atom

Entry 2:
## La2AlFe (PBEsol)

Data for La2AlFe after structural relaxation.

Cell lengths 5.550, 5.550, 5.550 Å; angles 132.65, 132.65, 69.21 degrees
Fractional coordinates of all 4 atoms:
La (0.000, 0.000, 0.000)
La (0.750, 0.250, 0.500)
Al (0.500, 0.500, 0.000)
Fe (0.250, 0.750, 0.500)

Output
Formation energy from the elements: 0.138 eV per atom
Uncorrected energy: -5.80 eV per atom

Entry 3:
## La2AlFe (PBEsol)

Data for La2AlFe after structural relaxation.

Cell lengths 6.082, 6.082, 6.082 Å; angles 146.61, 132.51, 59.29 degrees
Fractional coordinates of all 4 atoms:
La (0.000, 0.000, 0.000)
La (0.694, 0.194, 0.500)
Al (0.397, 0.397, 0.000)
Fe (0.235, 0.735, 0.500)

Output
Formation energy from the elements: -0.019 eV per atom
Uncorrected energy: -5.96 eV per atom

Entry 4:
## LaAlFe (PBEsol)

Data for LaAlFe after structural relaxation.

Cell lengths 6.137, 6.137, 6.137 Å; angles 150.75, 150.75, 41.84 degrees
Fractional coordinates of all 3 atoms:
La (0.000, 0.000, 0.000)
Al (0.731, 0.731, 0.000)
Fe (0.329, 0.329, 0.000)

Output
Formation energy from the elements: -0.020 eV per atom
Uncorrected energy: -6.15 eV per atom

Entry 5:
## LaAl2Fe (PBEsol)

Data for LaAl2Fe after structural relaxation.

Cell lengths 5.873, 5.873, 5.873 Å; angles 150.79, 130.93, 58.13 degrees
Fractional coordinates of all 4 atoms:
La (0.000, 0.000, 0.000)
Al (0.295, 0.795, 0.500)
Al (0.705, 0.205, 0.500)
Fe (0.500, 0.500, 0.000)

Output
Formation energy from the elements: 0.025 eV per atom
Uncorrected energy: -5.60 eV per atom

Entry 6:
## LaAlFe (PBEsol)

Data for LaAlFe after structural relaxation.

Cell lengths 4.647, 4.647, 4.647 Å; angles 60.00, 60.00, 60.00 degrees
Fractional coordinates of all 3 atoms:
La (0.000, 0.000, 0.000)
Al (0.750, 0.750, 0.750)
Fe (0.500, 0.500, 0.500)

Output
Formation energy from the elements: 0.544 eV per atom
Uncorrected energy: -5.59 eV per atom